Entry 1:
VASP calculation (GGA-PBE) on La3Tb8Nd3 after structural relaxation.

Geometry as POSCAR:
```
La3Tb8Nd3
1.0
6.165 -7.699 0.000
6.165 7.699 0.000
-2.684 0.000 5.093
La Tb Nd
3 8 3
direct
0.000 0.000 0.000 La
0.186 0.814 0.500 La
0.814 0.186 0.500 La
0.119 0.558 0.839 Tb
0.238 0.442 0.340 Tb
0.442 0.238 0.340 Tb
0.442 0.881 0.161 Tb
0.558 0.119 0.839 Tb
0.558 0.762 0.660 Tb
0.762 0.558 0.660 Tb
0.881 0.442 0.161 Tb
0.199 0.199 0.700 Nd
0.500 0.500 0.000 Nd
0.801 0.801 0.300 Nd
```

Values from the calculation:
The density of states at the Fermi level is 21.26 states/eV/cell. Its space group is C2/m, No. 12. As for the energy relative to the elements: 9.52 kJ per mole of atoms.


Entry 2:
VASP calculation (GGA-PBE) on Sc2ZnTcPd after structural relaxation.

Geometry as POSCAR:
```
Sc2ZnTcPd
1.0
4.818 0.000 0.000
0.000 4.818 0.000
0.000 0.000 4.768
Sc Zn Tc Pd
2 1 1 1
direct
0.000 0.500 0.000 Sc
0.500 0.000 0.000 Sc
0.000 0.000 0.500 Zn
0.000 0.000 0.000 Tc
0.500 0.500 0.500 Pd
```

Values from the calculation:
The density of states at the Fermi level is 3.32 states/eV/cell. Its space group is P4/mmm, No. 123. As for the energy relative to the elements: 27.74 kJ per mole of atoms.


Entry 3:
VASP calculation (GGA-PBE) on LaY3Ru after structural relaxation.

Geometry as POSCAR:
```
LaY3Ru
1.0
5.443 0.000 0.000
0.000 5.443 0.000
0.000 0.000 5.443
La Y Ru
1 3 1
direct
0.000 0.000 0.000 La
0.000 0.500 0.500 Y
0.500 0.000 0.500 Y
0.500 0.500 0.000 Y
0.500 0.500 0.500 Ru
```

Values from the calculation:
The density of states at the Fermi level is 6.35 states/eV/cell. Its space group is Pm-3m, No. 221. Its energy relative to the lowest polymorph listed for this composition is 0.086 eV/atom. As for the energy relative to the elements: -9.69 kJ per mole of atoms.


Entry 4:
VASP calculation (GGA-PBE) on Tb4Y2HoEr2 after structural relaxation.

Geometry as POSCAR:
```
Tb4Y2HoEr2
1.0
9.301 -1.791 0.000
9.301 1.791 0.000
-4.133 0.000 8.560
Tb Y Ho Er
4 2 1 2
direct
0.018 0.018 0.332 Tb
0.315 0.315 0.667 Tb
0.685 0.685 0.333 Tb
0.982 0.982 0.668 Tb
0.352 0.352 0.333 Y
0.648 0.648 0.667 Y
0.500 0.500 0.000 Ho
0.167 0.167 0.001 Er
0.833 0.833 0.999 Er
```

Values from the calculation:
The density of states at the Fermi level is 12.22 states/eV/cell. Its space group is C2/m, No. 12. As for the energy relative to the elements: 0.47 kJ per mole of atoms.


Entry 5:
VASP calculation (GGA-PBE) on KN2OF after structural relaxation.

Geometry as POSCAR:
```
KN2OF
1.0
4.051 0.000 0.000
0.000 4.051 0.000
0.000 0.000 5.556
K N O F
1 2 1 1
direct
0.000 0.000 0.000 K
0.000 0.500 0.500 N
0.500 0.000 0.500 N
0.500 0.500 0.000 O
0.500 0.500 0.500 F
```

Values from the calculation:
The density of states at the Fermi level is 4.82 states/eV/cell. Its space group is P4/mmm, No. 123. The value obtained for the total DFT energy (no corrections) is -3.250 eV/atom.


Entry 6:
VASP calculation (GGA-PBE) on LiGePb3 after structural relaxation.

Geometry as POSCAR:
```
LiGePb3
1.0
5.165 0.000 0.000
0.000 5.165 0.000
0.000 0.000 5.165
Li Ge Pb
1 1 3
direct
0.000 0.000 0.000 Li
0.500 0.500 0.500 Ge
0.000 0.000 0.500 Pb
0.000 0.500 0.000 Pb
0.500 0.000 0.000 Pb
```

Values from the calculation:
The density of states at the Fermi level is 2.92 states/eV/cell. Its space group is Pm-3m, No. 221. Its energy relative to the lowest polymorph listed for this composition is 0.000 eV/atom. As for the energy relative to the elements: 29.40 kJ per mole of atoms.


Entry 7:
VASP calculation (GGA-PBE) on KPtSeBr2 after structural relaxation.

Geometry as POSCAR:
```
KPtSeBr2
1.0
5.001 0.000 0.000
0.000 5.001 0.000
0.000 0.000 6.870
K Pt Se Br
1 1 1 2
direct
0.000 0.000 0.000 K
0.000 0.000 0.500 Pt
0.500 0.500 0.000 Se
0.000 0.500 0.500 Br
0.500 0.000 0.500 Br
```

Values from the calculation:
The density of states at the Fermi level is 6.34 states/eV/cell. Its space group is P4/mmm, No. 123. Its energy relative to the lowest polymorph listed for this composition is 0.513 eV/atom.


Entry 8:
VASP calculation (GGA-PBE) on Pu2Tl3VS6 after structural relaxation.

Geometry as POSCAR:
```
Pu2Tl3VS6
1.0
3.378 -5.828 0.000
3.378 5.828 0.000
-2.242 0.000 7.512
Pu Tl V S
2 3 1 6
direct
0.166 0.834 0.000 Pu
0.834 0.166 0.000 Pu
0.000 0.000 0.500 Tl
0.328 0.672 0.500 Tl
0.672 0.328 0.500 Tl
0.500 0.500 0.000 V
0.128 0.437 0.812 S
0.255 0.255 0.195 S
0.437 0.128 0.812 S
0.563 0.872 0.188 S
0.745 0.745 0.805 S
0.872 0.563 0.188 S
```

Values from the calculation:
The density of states at the Fermi level is 17.78 states/eV/cell. Its space group is C2/m, No. 12. The value obtained for the total DFT energy (no corrections) is -6.820 eV/atom.


Entry 9:
VASP calculation (GGA-PBE) on MgCoSe2 after structural relaxation.

Geometry as POSCAR:
```
MgCoSe2
1.0
3.262 0.000 0.000
0.000 3.262 0.000
0.000 0.000 6.598
Mg Co Se
1 1 2
direct
0.000 0.000 0.000 Mg
0.000 0.000 0.500 Co
0.500 0.500 0.267 Se
0.500 0.500 0.733 Se
```

Values from the calculation:
The density of states at the Fermi level is 3.68 states/eV/cell. Its space group is P4/mmm, No. 123. Its energy relative to the lowest polymorph listed for this composition is 0.460 eV/atom.


Entry 10:
VASP calculation (GGA-PBE) on Nb2NiTe2 after structural relaxation.

Geometry as POSCAR:
```
Nb2NiTe2
1.0
7.442 0.000 0.000
0.000 7.442 0.000
0.000 0.000 3.594
Nb Ni Te
4 2 4
direct
0.139 0.361 0.000 Nb
0.361 0.861 0.000 Nb
0.639 0.139 0.000 Nb
0.861 0.639 0.000 Nb
0.000 0.000 0.500 Ni
0.500 0.500 0.500 Ni
0.160 0.660 0.500 Te
0.340 0.160 0.500 Te
0.660 0.840 0.500 Te
0.840 0.340 0.500 Te
```

Values from the calculation:
The density of states at the Fermi level is 12.21 states/eV/cell. Its space group is P4/mbm, No. 127. Its energy relative to the lowest polymorph listed for this composition is 0.000 eV/atom.


Entry 11:
VASP calculation (GGA-PBE) on Ba12CdAg6 after structural relaxation.

Geometry as POSCAR:
```
Ba12CdAg6
1.0
7.717 4.455 4.519
-7.717 4.455 4.519
0.000 -8.910 4.519
Ba Cd Ag
12 1 6
direct
0.060 0.920 0.674 Ba
0.080 0.326 0.940 Ba
0.176 0.566 0.414 Ba
0.326 0.940 0.080 Ba
0.414 0.176 0.566 Ba
0.434 0.586 0.824 Ba
0.566 0.414 0.176 Ba
0.586 0.824 0.434 Ba
0.674 0.060 0.920 Ba
0.824 0.434 0.586 Ba
0.920 0.674 0.060 Ba
0.940 0.080 0.326 Ba
0.000 0.000 0.000 Cd
0.138 0.316 0.618 Ag
0.316 0.618 0.138 Ag
0.382 0.862 0.684 Ag
0.618 0.138 0.316 Ag
0.684 0.382 0.862 Ag
0.862 0.684 0.382 Ag
```

Values from the calculation:
The density of states at the Fermi level is 17.86 states/eV/cell. Its space group is R-3, No. 148. Its energy relative to the lowest polymorph listed for this composition is 0.063 eV/atom. As for the energy relative to the elements: -10.87 kJ per mole of atoms.


Entry 12:
VASP calculation (GGA-PBE) on CaTc2Mo after structural relaxation.

Geometry as POSCAR:
```
CaTc2Mo
1.0
3.119 -4.257 0.000
3.119 4.257 0.000
0.000 0.000 2.598
Ca Tc Mo
1 2 1
direct
0.000 0.000 0.000 Ca
0.000 0.500 0.500 Tc
0.500 0.000 0.500 Tc
0.500 0.500 0.000 Mo
```

Values from the calculation:
The density of states at the Fermi level is 4.58 states/eV/cell. Its space group is Cmmm, No. 65. Its energy relative to the lowest polymorph listed for this composition is 0.391 eV/atom. As for the energy relative to the elements: 68.98 kJ per mole of atoms.


Entry 13:
VASP calculation (GGA-PBE) on SrPaPd2 after structural relaxation.

Geometry as POSCAR:
```
SrPaPd2
1.0
3.610 0.000 0.000
0.000 3.610 0.000
0.000 0.000 7.569
Sr Pa Pd
1 1 2
direct
0.000 0.000 0.000 Sr
0.000 0.000 0.500 Pa
0.500 0.500 0.307 Pd
0.500 0.500 0.693 Pd
```

Values from the calculation:
The density of states at the Fermi level is 4.57 states/eV/cell. Its space group is P4/mmm, No. 123. Its energy relative to the lowest polymorph listed for this composition is 0.000 eV/atom. As for the energy relative to the elements: -48.35 kJ per mole of atoms.


Entry 14:
VASP calculation (GGA-PBE) on Pr2NdEr5 after structural relaxation.

Geometry as POSCAR:
```
Pr2NdEr5
1.0
8.149 -4.964 0.000
8.149 4.964 0.000
-0.881 0.000 6.458
Pr Nd Er
4 2 10
direct
0.170 0.677 0.888 Pr
0.323 0.830 0.612 Pr
0.677 0.170 0.388 Pr
0.830 0.323 0.112 Pr
0.000 0.500 0.000 Nd
0.500 0.000 0.500 Nd
0.012 0.187 0.644 Er
0.187 0.012 0.144 Er
0.214 0.394 0.477 Er
0.394 0.214 0.977 Er
0.442 0.558 0.250 Er
0.558 0.442 0.750 Er
0.606 0.786 0.023 Er
0.786 0.606 0.523 Er
0.813 0.988 0.856 Er
0.988 0.813 0.356 Er
```

Values from the calculation:
The density of states at the Fermi level is 23.75 states/eV/cell. Its space group is C2/c, No. 15. Its energy relative to the lowest polymorph listed for this composition is 0.031 eV/atom. As for the energy relative to the elements: 17.37 kJ per mole of atoms.


Entry 15:
VASP calculation (GGA-PBE) on BeRe2AuBr after structural relaxation.

Geometry as POSCAR:
```
BeRe2AuBr
1.0
5.209 0.000 0.000
0.000 5.209 0.000
0.000 0.000 4.324
Be Re Au Br
1 2 1 1
direct
0.000 0.000 0.000 Be
0.000 0.500 0.500 Re
0.500 0.000 0.500 Re
0.000 0.000 0.500 Au
0.500 0.500 0.000 Br
```

Values from the calculation:
The density of states at the Fermi level is 4.31 states/eV/cell. Its space group is P4/mmm, No. 123. The value obtained for the total DFT energy (no corrections) is -4.587 eV/atom.


Entry 16:
VASP calculation (GGA-PBE) on PrScNiHg after structural relaxation.

Geometry as POSCAR:
```
PrScNiHg
1.0
0.000 3.561 3.561
3.561 0.000 3.561
3.561 3.561 0.000
Pr Sc Ni Hg
1 1 1 1
direct
0.000 0.000 0.000 Pr
0.500 0.500 0.500 Sc
0.250 0.250 0.250 Ni
0.750 0.750 0.750 Hg
```

Values from the calculation:
The density of states at the Fermi level is 4.08 states/eV/cell. Its space group is F-43m, No. 216. As for the energy relative to the elements: -23.90 kJ per mole of atoms.


Entry 17:
VASP calculation (GGA-PBE) on Tb8TmAl2 after structural relaxation.

Geometry as POSCAR:
```
Tb8TmAl2
1.0
4.397 -7.350 0.000
4.397 7.350 0.000
-2.222 0.000 5.115
Tb Tm Al
8 1 2
direct
0.088 0.325 0.612 Tb
0.223 0.777 0.000 Tb
0.325 0.088 0.612 Tb
0.403 0.403 0.204 Tb
0.597 0.597 0.796 Tb
0.675 0.912 0.388 Tb
0.777 0.223 0.000 Tb
0.912 0.675 0.388 Tb
0.000 0.000 0.000 Tm
0.308 0.692 0.500 Al
0.692 0.308 0.500 Al
```

Values from the calculation:
The density of states at the Fermi level is 15.54 states/eV/cell. Its space group is C2/m, No. 12. As for the energy relative to the elements: 0.63 kJ per mole of atoms.


Entry 18:
VASP calculation (GGA-PBE) on Tb6Pr3Tm2Tl after structural relaxation.

Geometry as POSCAR:
```
Tb6Pr3Tm2Tl
1.0
3.097 -5.371 0.000
3.097 5.371 0.000
-2.088 0.000 11.486
Tb Pr Tm Tl
6 3 2 1
direct
0.079 0.407 0.241 Tb
0.249 0.249 0.757 Tb
0.407 0.079 0.241 Tb
0.593 0.921 0.759 Tb
0.751 0.751 0.243 Tb
0.921 0.593 0.759 Tb
0.167 0.833 0.500 Pr
0.500 0.500 0.500 Pr
0.833 0.167 0.500 Pr
0.334 0.666 0.000 Tm
0.666 0.334 0.000 Tm
0.000 0.000 0.000 Tl
```

Values from the calculation:
The density of states at the Fermi level is 16.44 states/eV/cell. Its space group is C2/m, No. 12. As for the energy relative to the elements: -0.42 kJ per mole of atoms.


Entry 19:
VASP calculation (GGA-PBE) on Ni2AsHRu after structural relaxation.

Geometry as POSCAR:
```
Ni2AsHRu
1.0
3.702 0.000 0.000
0.000 3.702 0.000
0.000 0.000 3.838
Ni As H Ru
2 1 1 1
direct
0.000 0.500 0.000 Ni
0.500 0.000 0.000 Ni
0.000 0.000 0.500 As
0.500 0.500 0.000 H
0.500 0.500 0.500 Ru
```

Values from the calculation:
The density of states at the Fermi level is 3.50 states/eV/cell. Its space group is P4/mmm, No. 123. The value obtained for the total DFT energy (no corrections) is -5.806 eV/atom.


Entry 20:
VASP calculation (GGA-PBE) on Cu5NiPd3 after structural relaxation.

Geometry as POSCAR:
```
Cu5NiPd3
1.0
-3.359 3.359 5.741
3.359 -3.359 5.741
3.359 3.359 -5.741
Cu Ni Pd
10 2 6
direct
0.000 0.000 0.000 Cu
0.055 0.555 0.907 Cu
0.147 0.055 0.500 Cu
0.353 0.853 0.907 Cu
0.445 0.353 0.500 Cu
0.500 0.500 0.000 Cu
0.555 0.647 0.500 Cu
0.647 0.147 0.093 Cu
0.853 0.945 0.500 Cu
0.945 0.445 0.093 Cu
0.250 0.750 0.500 Ni
0.750 0.250 0.500 Ni
0.127 0.373 0.500 Pd
0.250 0.250 0.000 Pd
0.373 0.873 0.246 Pd
0.627 0.127 0.754 Pd
0.750 0.750 0.000 Pd
0.873 0.627 0.500 Pd
```

Values from the calculation:
The density of states at the Fermi level is 14.34 states/eV/cell. Its space group is I4/mcm, No. 140. As for the energy relative to the elements: 29.53 kJ per mole of atoms.


Entry 21:
VASP calculation (GGA-PBE) on PmNiGe3 after structural relaxation.

Geometry as POSCAR:
```
PmNiGe3
1.0
-2.200 2.200 4.832
2.200 -2.200 4.832
2.200 2.200 -4.832
Pm Ni Ge
1 1 3
direct
0.000 0.000 0.000 Pm
0.663 0.663 0.000 Ni
0.260 0.760 0.500 Ge
0.423 0.423 0.000 Ge
0.760 0.260 0.500 Ge
```

Values from the calculation:
The density of states at the Fermi level is 1.98 states/eV/cell. Its space group is I4mm, No. 107. As for the energy relative to the elements: -52.81 kJ per mole of atoms.